Material: Sn2HgRh2
Method: DFT, PBEsol
State: optimized geometry

Results
energy of formation from the pure elements = -7.5 kcal/mol of atoms

abc: 3.3203 7.3610 7.3610
angles: 90.00 90.00 90.00
Positions (direct):
Sn1 0.5000 0.8486 0.3486
Rh1 0.0000 0.6450 0.1450
Hg1 0.0000 0.0000 0.0000
Rh2 0.0000 0.8550 0.6450
Sn2 0.5000 0.6514 0.8486
Sn3 0.5000 0.3486 0.1514
Sn4 0.5000 0.1514 0.6514
Rh3 0.0000 0.3550 0.8550
Hg2 0.0000 0.5000 0.5000
Rh4 0.0000 0.1450 0.3550



Material: Mg2TcCl
Method: DFT, PBEsol
State: optimized geometry

Results
energy relative to the elements, uncorrected = 591.9 meV per atom

abc: 4.7485 4.7485 4.7485
angles: 60.00 60.00 60.00
Positions (direct):
Cl1 0.0000 0.0000 0.0000
Mg1 0.7500 0.7500 0.7500
Mg2 0.2500 0.2500 0.2500
Tc1 0.5000 0.5000 0.5000